# 1
Er8CuTe4P3: relaxed, PBE.

The calculation puts the formation energy from raw total energies at -1.2955 eV/atom. The value obtained for the density is 8212 kg/m³.

The space group is R-3m (No. 166, hexagonal axes) and the conventional cell measures 8.2110, 8.2110 and 20.8313 Å, with angles of 90.00, 90.00 and 120.00 degrees. The distinct sites, in fractional coordinates, are Er at (0.0000, 0.0000, 0.2361), Er at (0.9996, 0.4998, 0.2376), Cu at (0.0000, 0.0000, 0.5000), Te at (0.0000, 0.0000, 0.0000), Te at (0.0000, 0.5000, 0.0000) and P at (0.0000, 0.5000, 0.5000).

---

# 2
Tl3Bi2Pb8: relaxed, PBE.

The value obtained for the formation energy from the elements is 0.09 eV per atom. The value obtained for the density is 9795 kg/m³.

The space group is R-3m (No. 166, hexagonal axes) and the conventional cell measures 6.5524, 6.5524 and 36.7786 Å, with angles of 90.00, 90.00 and 120.00 degrees. The distinct sites, in fractional coordinates, are Tl at (0.0000, 0.0000, 0.0000), Tl at (0.0000, 0.0000, 0.1854), Bi at (0.0000, 0.0000, 0.3636), Pb at (0.0000, 0.0000, 0.2756) and Pb at (0.0012, 0.5006, 0.7682).

---

# 3
Sc2Tl3BiS6: relaxed, PBE.

The calculation puts the formation energy from raw total energies at -1.0475 eV/atom. The value obtained for the density is 6129 kg/m³.

The space group is C2/m (No. 12) and the conventional cell measures 6.8114, 11.7786 and 7.7944 Å, with angles of 90.00, 106.87 and 90.00 degrees. The distinct sites, in fractional coordinates, are Sc at (0.0000, 0.1668, 0.0000), Tl at (0.0000, 0.0000, 0.5000), Tl at (0.0000, 0.3376, 0.5000), Bi at (0.0000, 0.5000, 0.0000), S at (0.2086, 0.0000, 0.1915) and S at (0.2425, 0.3224, 0.1952).

---

# 4
RbCdGa2Fe: relaxed, PBE.

The value obtained for the formation energy from the elements is 0.04 eV per atom. The value obtained for the density is 5548 kg/m³.

The space group is P4/mmm (No. 123) and the conventional cell measures 4.7454, 4.7454 and 5.2260 Å, with angles of 90.00, 90.00 and 90.00 degrees. The distinct sites, in fractional coordinates, are Rb at (0.0000, 0.0000, 0.0000), Cd at (0.5000, 0.5000, 0.0000), Ga at (0.0000, 0.5000, 0.5000) and Fe at (0.5000, 0.5000, 0.5000).